{
  "formula": "Mg2UI8",
  "functional": "PBE",
  "state": "relaxed",
  "lattice_angstrom": [[8.476, -4.503, 0.000], [8.476, 4.503, 0.000], [-0.134, 0.000, 7.298]],
  "species": ["Mg", "Mg", "U", "I", "I", "I", "I", "I", "I", "I", "I"],
  "fractional_positions": [[0.165, 0.165, 0.403], [0.835, 0.835, 0.597], [0.000, 0.000, 0.000], [0.152, 0.152, 0.786], [0.161, 0.694, 0.750], [0.306, 0.839, 0.250], [0.315, 0.315, 0.319], [0.685, 0.685, 0.681], [0.694, 0.161, 0.750], [0.839, 0.306, 0.250], [0.848, 0.848, 0.214]],
  "e_form_raw_ev_per_atom": -0.855,
  "m_tot_mub_per_cell": 2.0
}


{
  "formula": "Na3ZnTe",
  "functional": "PBE",
  "state": "relaxed",
  "lattice_angstrom": [[5.935, 0.000, 0.000], [0.000, 5.935, 0.000], [0.000, 0.000, 5.935]],
  "species": ["Na", "Na", "Na", "Zn", "Te"],
  "fractional_positions": [[0.000, 0.000, 0.500], [0.000, 0.500, 0.000], [0.500, 0.000, 0.000], [0.500, 0.500, 0.500], [0.000, 0.000, 0.000]],
  "e_form_raw_ev_per_atom": -0.238,
  "m_tot_mub_per_cell": 0.0
}


no.,DOS(E_F) (states/eV/cell)
1,4.29
2,4.92